# CsZnSnCl5 GGA-PBE optimized geometry
# SG: C2/c
# density of states at the Fermi level: 0.000 states/eV per cell
data_CsZnSnCl5
_cell_length_a 7.892
_cell_length_b 7.892
_cell_length_c 10.229
_cell_angle_alpha 104.39
_cell_angle_beta 104.39
_cell_angle_gamma 106.31
_space_group_name_H-M_alt 'P 1'
_space_group_IT_number 1
loop_
_space_group_symop_operation_xyz
'x,y,z'
loop_
_atom_site_label
_atom_site_type_symbol
_atom_site_fract_x
_atom_site_fract_y
_atom_site_fract_z
Zn1 Zn 0.311 0.689 0.750
Zn2 Zn 0.689 0.311 0.250
Cl1 Cl 0.921 0.079 0.750
Cl2 Cl 0.109 0.686 0.878
Cl3 Cl 0.602 0.763 0.919
Cl4 Cl 0.237 0.398 0.581
Cl5 Cl 0.763 0.602 0.419
Cl6 Cl 0.398 0.237 0.081
Cl7 Cl 0.314 0.891 0.622
Cl8 Cl 0.079 0.921 0.250
Cl9 Cl 0.686 0.109 0.378
Cl10 Cl 0.891 0.314 0.122
Sn1 Sn 0.000 0.000 0.500
Sn2 Sn 0.000 0.000 0.000
Cs1 Cs 0.654 0.346 0.750
Cs2 Cs 0.346 0.654 0.250

---

# Cs2ZnSnCl6 GGA-PBE optimized geometry
# SG: Fm-3m
# density of states at the Fermi level: 0.000 states/eV per cell
data_Cs2ZnSnCl6
_cell_length_a 7.544
_cell_length_b 7.544
_cell_length_c 7.548
_cell_angle_alpha 60.02
_cell_angle_beta 60.02
_cell_angle_gamma 90.00
_space_group_name_H-M_alt 'P 1'
_space_group_IT_number 1
loop_
_space_group_symop_operation_xyz
'x,y,z'
loop_
_atom_site_label
_atom_site_type_symbol
_atom_site_fract_x
_atom_site_fract_y
_atom_site_fract_z
Cs1 Cs 0.250 0.750 0.500
Cs2 Cs 0.750 0.250 0.500
Cl1 Cl 0.735 0.265 0.000
Cl2 Cl 0.735 0.735 0.000
Cl3 Cl 0.265 0.265 0.000
Cl4 Cl 0.736 0.736 0.529
Cl5 Cl 0.264 0.264 0.471
Cl6 Cl 0.265 0.735 0.000
Zn1 Zn 0.500 0.500 0.000
Sn1 Sn 0.000 0.000 0.000

---

# CsSrCl3 GGA-PBE optimized geometry
# SG: R3c
# density of states at the Fermi level: 0.000 states/eV per cell
data_CsSrCl3
_cell_length_a 7.997
_cell_length_b 7.997
_cell_length_c 7.997
_cell_angle_alpha 60.88
_cell_angle_beta 60.88
_cell_angle_gamma 60.88
_space_group_name_H-M_alt 'P 1'
_space_group_IT_number 1
loop_
_space_group_symop_operation_xyz
'x,y,z'
loop_
_atom_site_label
_atom_site_type_symbol
_atom_site_fract_x
_atom_site_fract_y
_atom_site_fract_z
Cl1 Cl 0.184 0.308 0.746
Cl2 Cl 0.308 0.746 0.184
Cl3 Cl 0.808 0.684 0.246
Cl4 Cl 0.246 0.808 0.684
Cl5 Cl 0.684 0.246 0.808
Cl6 Cl 0.746 0.184 0.308
Sr1 Sr 0.996 0.996 0.996
Sr2 Sr 0.496 0.496 0.496
Cs1 Cs 0.747 0.747 0.747
Cs2 Cs 0.247 0.247 0.247

---

# CsSrCl3 GGA-PBE optimized geometry
# SG: P4/mbm
# density of states at the Fermi level: 0.000 states/eV per cell
data_CsSrCl3
_cell_length_a 7.966
_cell_length_b 7.966
_cell_length_c 5.788
_cell_angle_alpha 90.00
_cell_angle_beta 90.00
_cell_angle_gamma 90.00
_space_group_name_H-M_alt 'P 1'
_space_group_IT_number 1
loop_
_space_group_symop_operation_xyz
'x,y,z'
loop_
_atom_site_label
_atom_site_type_symbol
_atom_site_fract_x
_atom_site_fract_y
_atom_site_fract_z
Cl1 Cl 0.000 0.000 0.000
Cl2 Cl 0.500 0.500 0.000
Cl3 Cl 0.693 0.193 0.500
Cl4 Cl 0.193 0.307 0.500
Cl5 Cl 0.307 0.807 0.500
Cl6 Cl 0.807 0.693 0.500
Sr1 Sr 0.000 0.000 0.500
Sr2 Sr 0.500 0.500 0.500
Cs1 Cs 0.000 0.500 0.000
Cs2 Cs 0.500 0.000 0.000

---

# CsSrCl3 GGA-PBE optimized geometry
# SG: Pnma
# density of states at the Fermi level: 0.000 states/eV per cell
data_CsSrCl3
_cell_length_a 8.908
_cell_length_b 9.649
_cell_length_c 9.060
_cell_angle_alpha 90.00
_cell_angle_beta 90.00
_cell_angle_gamma 90.00
_space_group_name_H-M_alt 'P 1'
_space_group_IT_number 1
loop_
_space_group_symop_operation_xyz
'x,y,z'
loop_
_atom_site_label
_atom_site_type_symbol
_atom_site_fract_x
_atom_site_fract_y
_atom_site_fract_z
Cs1 Cs 0.000 0.000 0.500
Cs2 Cs 0.500 0.500 0.000
Cs3 Cs 0.500 0.000 0.000
Cs4 Cs 0.000 0.500 0.500
Cl1 Cl 0.119 0.946 0.861
Cl2 Cl 0.171 0.750 0.297
Cl3 Cl 0.881 0.054 0.139
Cl4 Cl 0.329 0.250 0.797
Cl5 Cl 0.619 0.554 0.639
Cl6 Cl 0.381 0.446 0.361
Cl7 Cl 0.671 0.750 0.203
Cl8 Cl 0.881 0.446 0.139
Cl9 Cl 0.119 0.554 0.861
Cl10 Cl 0.381 0.054 0.361
Cl11 Cl 0.829 0.250 0.703
Cl12 Cl 0.619 0.946 0.639
Sr1 Sr 0.471 0.750 0.446
Sr2 Sr 0.029 0.250 0.946
Sr3 Sr 0.971 0.750 0.054
Sr4 Sr 0.529 0.250 0.554

---

# CsSr2Cl2 GGA-PBE optimized geometry
# SG: I4/mmm
# density of states at the Fermi level: 3.966 states/eV per cell
data_CsSr2Cl2
_cell_length_a 5.575
_cell_length_b 5.575
_cell_length_c 8.132
_cell_angle_alpha 69.95
_cell_angle_beta 69.95
_cell_angle_gamma 90.00
_space_group_name_H-M_alt 'P 1'
_space_group_IT_number 1
loop_
_space_group_symop_operation_xyz
'x,y,z'
loop_
_atom_site_label
_atom_site_type_symbol
_atom_site_fract_x
_atom_site_fract_y
_atom_site_fract_z
Cl1 Cl 0.750 0.250 0.500
Cl2 Cl 0.250 0.750 0.500
Cs1 Cs 0.000 0.000 0.000
Sr1 Sr 0.350 0.350 0.300
Sr2 Sr 0.650 0.650 0.700

---

# CsSr2Cl GGA-PBE optimized geometry
# SG: I-42d
# density of states at the Fermi level: 5.735 states/eV per cell
# E above lowest polymorph: 0.00 eV per formula unit
data_CsSr2Cl
_cell_length_a 9.708
_cell_length_b 9.708
_cell_length_c 9.044
_cell_angle_alpha 57.54
_cell_angle_beta 57.54
_cell_angle_gamma 90.00
_space_group_name_H-M_alt 'P 1'
_space_group_IT_number 1
loop_
_space_group_symop_operation_xyz
'x,y,z'
loop_
_atom_site_label
_atom_site_type_symbol
_atom_site_fract_x
_atom_site_fract_y
_atom_site_fract_z
Sr1 Sr 0.441 0.125 0.250
Sr2 Sr 0.875 0.691 0.750
Sr3 Sr 0.309 0.625 0.250
Sr4 Sr 0.375 0.559 0.750
Cl1 Cl 0.250 0.750 0.500
Cl2 Cl 0.500 0.500 0.000
Cs1 Cs 0.750 0.250 0.500
Cs2 Cs 0.000 0.000 0.000

---

# CsSrCl3 GGA-PBE optimized geometry
# SG: Fd-3m
# density of states at the Fermi level: 0.000 states/eV per cell
data_CsSrCl3
_cell_length_a 10.505
_cell_length_b 10.505
_cell_length_c 10.505
_cell_angle_alpha 60.00
_cell_angle_beta 60.00
_cell_angle_gamma 60.00
_space_group_name_H-M_alt 'P 1'
_space_group_IT_number 1
loop_
_space_group_symop_operation_xyz
'x,y,z'
loop_
_atom_site_label
_atom_site_type_symbol
_atom_site_fract_x
_atom_site_fract_y
_atom_site_fract_z
Cl1 Cl 0.040 0.040 0.460
Cl2 Cl 0.040 0.460 0.040
Cl3 Cl 0.790 0.790 0.210
Cl4 Cl 0.460 0.040 0.460
Cl5 Cl 0.460 0.460 0.040
Cl6 Cl 0.210 0.790 0.210
Cl7 Cl 0.210 0.790 0.790
Cl8 Cl 0.040 0.460 0.460
Cl9 Cl 0.790 0.210 0.790
Cl10 Cl 0.790 0.210 0.210
Cl11 Cl 0.210 0.210 0.790
Cl12 Cl 0.460 0.040 0.040
Sr1 Sr 0.125 0.125 0.125
Sr2 Sr 0.125 0.625 0.125
Sr3 Sr 0.625 0.125 0.125
Sr4 Sr 0.125 0.125 0.625
Cs1 Cs 0.625 0.125 0.625
Cs2 Cs 0.625 0.625 0.125
Cs3 Cs 0.125 0.625 0.625
Cs4 Cs 0.625 0.625 0.625

---

# CsSrCl3 GGA-PBE optimized geometry
# SG: P2_1/m
# density of states at the Fermi level: 0.000 states/eV per cell
data_CsSrCl3
_cell_length_a 5.743
_cell_length_b 8.452
_cell_length_c 8.509
_cell_angle_alpha 90.00
_cell_angle_beta 109.08
_cell_angle_gamma 90.00
_space_group_name_H-M_alt 'P 1'
_space_group_IT_number 1
loop_
_space_group_symop_operation_xyz
'x,y,z'
loop_
_atom_site_label
_atom_site_type_symbol
_atom_site_fract_x
_atom_site_fract_y
_atom_site_fract_z
Cl1 Cl 0.486 0.250 0.468
Cl2 Cl 0.514 0.750 0.532
Cl3 Cl 0.123 0.480 0.753
Cl4 Cl 0.877 0.520 0.247
Cl5 Cl 0.877 0.980 0.247
Cl6 Cl 0.123 0.020 0.753
Sr1 Sr 0.989 0.250 0.474
Sr2 Sr 0.011 0.750 0.526
Cs1 Cs 0.306 0.750 0.103
Cs2 Cs 0.694 0.250 0.897

---

# CsSrCl3 GGA-PBE optimized geometry
# SG: Cm
# density of states at the Fermi level: 0.000 states/eV per cell
data_CsSrCl3
_cell_length_a 4.260
_cell_length_b 9.974
_cell_length_c 9.974
_cell_angle_alpha 121.22
_cell_angle_beta 102.08
_cell_angle_gamma 77.91
_space_group_name_H-M_alt 'P 1'
_space_group_IT_number 1
loop_
_space_group_symop_operation_xyz
'x,y,z'
loop_
_atom_site_label
_atom_site_type_symbol
_atom_site_fract_x
_atom_site_fract_y
_atom_site_fract_z
Cl1 Cl 0.594 0.172 0.310
Cl2 Cl 0.421 0.549 0.348
Cl3 Cl 0.781 0.485 0.998
Cl4 Cl 0.054 0.706 0.777
Cl5 Cl 0.824 0.941 0.542
Cl6 Cl 0.421 0.135 0.933
Sr1 Sr 0.954 0.309 0.173
Sr2 Sr 0.442 0.821 0.662
Cs1 Cs 0.214 0.298 0.674
Cs2 Cs 0.214 0.809 0.184

---

# CsSrCl3 GGA-PBE optimized geometry
# SG: I-4m2
# density of states at the Fermi level: 0.000 states/eV per cell
data_CsSrCl3
_cell_length_a 6.500
_cell_length_b 6.500
_cell_length_c 10.643
_cell_angle_alpha 72.22
_cell_angle_beta 72.22
_cell_angle_gamma 90.00
_space_group_name_H-M_alt 'P 1'
_space_group_IT_number 1
loop_
_space_group_symop_operation_xyz
'x,y,z'
loop_
_atom_site_label
_atom_site_type_symbol
_atom_site_fract_x
_atom_site_fract_y
_atom_site_fract_z
Cs1 Cs 0.647 0.147 0.705
Cs2 Cs 0.853 0.353 0.295
Cl1 Cl 0.111 0.851 0.778
Cl2 Cl 0.281 0.281 0.438
Cl3 Cl 0.629 0.889 0.222
Cl4 Cl 0.149 0.889 0.222
Cl5 Cl 0.111 0.371 0.778
Cl6 Cl 0.719 0.719 0.562
Sr1 Sr 0.000 0.000 0.000
Sr2 Sr 0.250 0.750 0.500

---

# Cs2SrCl GGA-PBE optimized geometry
# SG: R-3m
# density of states at the Fermi level: 2.067 states/eV per cell
# E above lowest polymorph: 0.00 eV per formula unit
data_Cs2SrCl
_cell_length_a 4.667
_cell_length_b 4.667
_cell_length_c 13.654
_cell_angle_alpha 80.16
_cell_angle_beta 80.16
_cell_angle_gamma 60.00
_space_group_name_H-M_alt 'P 1'
_space_group_IT_number 1
loop_
_space_group_symop_operation_xyz
'x,y,z'
loop_
_atom_site_label
_atom_site_type_symbol
_atom_site_fract_x
_atom_site_fract_y
_atom_site_fract_z
Cs1 Cs 0.888 0.888 0.336
Cs2 Cs 0.112 0.112 0.664
Sr1 Sr 0.000 0.000 0.000
Cl1 Cl 0.500 0.500 0.500

---

Uncorrected energy, record by record: -3.248, -3.255, -3.920, -3.919, -3.804, -2.866, -2.131, -3.862, -3.886, -3.880, -3.632, -2.123 eV per atom
Uncorrected formation energy, record by record: -1.33, -1.45, -2.30, -2.30, -2.19, -1.28, -0.62, -2.25, -2.27, -2.26, -2.02, -0.81 eV per atom
Ρ, record by record: 2.950, 3.620, 2.944, 2.955, 2.788, 2.847, 2.056, 2.649, 2.782, 3.086, 2.677, 2.557 g cm⁻³